(1)
DFT (PBE) results for a geometry-optimized CdSnAsO6 structure.

As for the calculated density: 5.86 Mg/m³. The formation energy without anion corrections comes out at -1.146 eV per atom. For the size of the total moment, the calculation gives 2.114 μB per cell.

The space group is P-31c (No. 163) and the conventional cell measures 5.2590, 5.2590 and 9.5089 Å, with angles of 90.00, 90.00 and 120.00 degrees. Symmetry generates all atoms from Cd at (0.0000, 0.0000, 0.0000), Sn at (0.3333, 0.6667, 0.2500), As at (0.3333, 0.6667, 0.7500) and O at (0.0322, 0.3818, 0.6393).

(2)
DFT (PBE) results for a geometry-optimized SrCdAsO4 structure.

As for the calculated density: 5.16 Mg/m³. The formation energy without anion corrections comes out at -1.585 eV per atom. For the size of the total moment, the calculation gives 0.000 μB per cell.

The space group is Imma (No. 74) and the conventional cell measures 6.233, 7.454 and 9.390 Å, with angles of 90.00, 90.00 and 90.00 degrees. Symmetry generates all atoms from Sr at (0.000, 0.000, 0.000), Cd at (0.250, 0.250, 0.250), As at (0.000, 0.250, 0.625), O at (0.000, 0.054, 0.725) and O at (0.226, 0.250, 0.513).

(3)
DFT (PBE) results for a geometry-optimized Sr2Cd3As2O2 structure.

As for the calculated density: 6.04 Mg/m³. The formation energy without anion corrections comes out at -1.150 eV per atom. For the size of the total moment, the calculation gives 0.000 μB per cell.

The space group is I4/mmm (No. 139) and the conventional cell measures 4.417, 4.417 and 19.549 Å, with angles of 90.00, 90.00 and 90.00 degrees. Symmetry generates all atoms from Sr at (0.000, 0.000, 0.082), Cd at (0.000, 0.000, 0.500), Cd at (0.000, 0.500, 0.250), As at (0.000, 0.000, 0.339) and O at (0.000, 0.500, 0.000).